# BeRuSe2, relaxed, DFT PBE
data_BeRuSe2
_chemical_formula_sum 'Be1 Ru1 Se2'
_cell_length_a 3.092
_cell_length_b 3.092
_cell_length_c 7.380
_cell_angle_alpha 90.00
_cell_angle_beta 90.00
_cell_angle_gamma 90.00
_symmetry_space_group_name_H-M 'P 1'
_symmetry_Int_Tables_number 1
_symmetry_space_group_name_Hall 'P 1'
loop_
_atom_site_label
_atom_site_fract_x
_atom_site_fract_y
_atom_site_fract_z
Be1 0.000 0.000 0.000
Ru1 0.500 0.500 0.204
Se1 0.000 0.000 0.385
Se2 0.500 0.500 0.860
# energy relative to the elements, uncorrected	-73	meV/atom
# space-group type	No. 99

---

# SrCd4Pt4, relaxed, DFT PBE
data_SrCd4Pt4
_chemical_formula_sum 'Sr2 Cd8 Pt8'
_cell_length_a 6.581
_cell_length_b 6.581
_cell_length_c 9.267
_cell_angle_alpha 90.00
_cell_angle_beta 90.00
_cell_angle_gamma 90.00
_symmetry_space_group_name_H-M 'P 1'
_symmetry_Int_Tables_number 1
_symmetry_space_group_name_Hall 'P 1'
loop_
_atom_site_label
_atom_site_fract_x
_atom_site_fract_y
_atom_site_fract_z
Sr1 0.250 0.750 0.250
Sr2 0.750 0.250 0.750
Cd1 0.014 0.250 0.144
Cd2 0.250 0.014 0.644
Cd3 0.250 0.486 0.644
Cd4 0.486 0.250 0.144
Cd5 0.514 0.750 0.856
Cd6 0.750 0.514 0.356
Cd7 0.750 0.986 0.356
Cd8 0.986 0.750 0.856
Pt1 0.049 0.250 0.441
Pt2 0.250 0.049 0.941
Pt3 0.250 0.451 0.941
Pt4 0.451 0.250 0.441
Pt5 0.549 0.750 0.559
Pt6 0.750 0.549 0.059
Pt7 0.750 0.951 0.059
Pt8 0.951 0.750 0.559
# energy of formation	-0.307	eV/atom
# space-group type	No. 137

---

no.,M_tot (μB per formula unit)
1,0.0
2,0.0